Density functional theory data (GGA-PBE) for ErUS after structural relaxation.

Unit cell a=3.4839 b=3.6167 c=11.7519 alpha=90.00 beta=90.19 gamma=90.00
Last column: nearest neighbours and their distance in Å.
Space group P2_1/m (No. 11)
Inequivalent atoms, fractional coordinates:
Er (0.2493, 0.2500, 0.3709)  4 S 2.70-2.71
U (0.3345, 0.2500, 0.9456)  2 U 2.49, 1 S 2.72
S (0.2530, 0.2500, 0.7153)  4 Er 2.70-2.71, 1 U 2.72

total magnetic moment	0.001	μB/atom
volume	24.679	Å³/atom
raw formation energy	-0.821	eV per atom